# Mg2CoTe (GGA-PBE, optimized geometry)
data_Mg2CoTe
_space_group_name_H-M_alt 'I -4 m 2'
_space_group_IT_number 119
_space_group_name_Hall 'I -4 -2'
_cell_length_a 4.128
_cell_length_b 4.128
_cell_length_c 8.829
_cell_angle_alpha 90.00
_cell_angle_beta 90.00
_cell_angle_gamma 90.00
loop_
_atom_site_label
_atom_site_type_symbol
_atom_site_fract_x
_atom_site_fract_y
_atom_site_fract_z
Mg1 Mg 0.000 0.000 0.000
Mg2 Mg 0.000 0.500 0.250
Co1 Co 0.000 0.000 0.500
Te1 Te 0.000 0.500 0.750
# M_tot ... 1.21 Bohr magnetons per cell
# D(E_F) ... 3.0 states/eV/f.u.
# Uncorrected formation energy ... 0.1078 eV/atom